(1)
The following is a PBE calculation of Ac2Zn6GaNi after structural relaxation, from Alexandria.

Cell: 6.477 6.491 6.858 Å, 62.09 61.88 60.07°
Space group P-1 (No. 2)
One atom of each set of equivalent atoms:
Ac  0.208  0.211  0.370 (multiplicity 2)
Zn  0.243  0.243  0.855 (multiplicity 2)
Zn  0.244  0.658  0.855 (multiplicity 2)
Zn  0.342  0.757  0.145 (multiplicity 2)
Ga  0.500  0.500  0.500 (multiplicity 1)
Ni  0.000  0.000  0.000 (multiplicity 1)

Calculated values
Its crystal system is triclinic. The calculation puts the formation energy at -0.258 eV per atom. For the calculated total energy, the calculation gives -2.725 eV per atom.



(2)
The following is a PBE calculation of BaFeAg2 after structural relaxation, from Alexandria.

Cell: 5.287 5.287 17.695 Å, 90.00 90.00 90.00°
Space group I-42d (No. 122)
One atom of each set of equivalent atoms:
Ba  0.000  0.000  0.000 (multiplicity 4)
Fe  0.000  0.000  0.500 (multiplicity 4)
Ag  0.003  0.250  0.625 (multiplicity 8)

Calculated values
Its crystal system is tetragonal. The calculation puts the formation energy at 0.419 eV per atom. For the calculated total energy, the calculation gives -3.603 eV per atom.



(3)
The following is a PBE calculation of Mn2ZnSb after structural relaxation, from Alexandria.

Cell: 2.959 3.821 5.726 Å, 90.00 90.68 90.00°
Space group P2/m (No. 10)
One atom of each set of equivalent atoms:
Mn  0.000  0.000  0.234 (multiplicity 2)
Zn  0.500  0.500  0.000 (multiplicity 1)
Sb  0.500  0.500  0.500 (multiplicity 1)

Calculated values
Its crystal system is monoclinic. Its formation energy without anion corrections is 206 meV per atom. For the calculated total energy, the calculation gives -5.728 eV per atom.



- Among the records above, which one has the highest calculated total energy?
  Ac2Zn6GaNi



- Among the records above, which one has the highest calculated total energy?
  Ac2Zn6GaNi



- Which value of calculated total energy does entry 3 give?
  -5.728 eV per atom